First-principles (PBEsol) data for a relaxed Sr2CaBr crystal, as listed in the Alexandria database.

```
Sr2CaBr
1.0
-2.495 2.495 6.674
2.495 -2.495 6.674
2.495 2.495 -6.674
Sr Ca Br
2 1 1
Cartesian
0.000 0.000 0.000
0.000 2.495 3.337
2.495 0.000 3.337
0.000 0.000 6.674
```

Computed properties:
V (Å³ per cell): 166.2
Uncorrected formation energy (eV per atom): -0.394
Theoretical density (Mg/m³): 2.9
Distance to the lowest polymorph of the same formula (meV/atom): 333
Total energy (eV per atom): -2.31